Na7V2O6 (GGA+U, optimized geometry); calculated total energy = -5.0853 eV per atom; SG = C2/c, No. 15; ρ = 2.60 g/cm3
1.0
8.120 -0.013 -0.005
6.038 5.429 -0.005
2.498 0.956 10.381
Na O V
14 12 4
direct
0.765 0.574 0.094
0.235 0.426 0.906
0.428 0.697 0.348
0.922 0.078 0.250
0.267 0.184 0.194
0.426 0.235 0.406
0.733 0.816 0.806
0.078 0.922 0.750
0.816 0.733 0.306
0.697 0.428 0.848
0.303 0.572 0.152
0.184 0.267 0.694
0.572 0.303 0.652
0.574 0.765 0.594
0.992 0.657 0.084
0.856 0.330 0.625
0.330 0.856 0.125
0.606 0.144 0.190
0.657 0.992 0.584
0.144 0.606 0.690
0.008 0.343 0.916
0.670 0.144 0.875
0.394 0.856 0.810
0.144 0.670 0.375
0.856 0.394 0.310
0.343 0.008 0.416
0.230 0.007 0.964
0.993 0.770 0.536
0.770 0.993 0.036
0.007 0.230 0.464